# Na3CaNp2Se6 PBE-GGA relaxed
# - ΔE_f (raw) (eV/f.u.) = -16.03
# - calculated volume (Å³/cell) = 638
data_Na3CaNp2Se6
_cell_length_a 18.406
_cell_length_b 4.204
_cell_length_c 8.497
_cell_angle_alpha 90.00
_cell_angle_beta 104.08
_cell_angle_gamma 90.00
_space_group_name_H-M_alt 'C 1 2/m 1'
_space_group_IT_number 12
loop_
_space_group_symop_operation_xyz
'x,y,z'
'-x,-y,-z'
'-x,y,-z'
'x,-y,z'
'x+1/2,y+1/2,z'
'-x+1/2,-y+1/2,-z'
'-x+1/2,y+1/2,-z'
'x+1/2,-y+1/2,z'
loop_
_atom_site_label
_atom_site_type_symbol
_atom_site_fract_x
_atom_site_fract_y
_atom_site_fract_z
Na1 Na 0.000 0.000 0.000
Na2 Na 0.163 0.500 0.333
Ca1 Ca 0.000 0.000 0.500
Np1 Np 0.165 0.500 0.830
Se1 Se 0.007 0.500 0.749
Se2 Se 0.167 0.000 0.601
Se3 Se 0.173 0.000 0.068

***

# NaCaNp2Te4 PBE-GGA relaxed
# - ΔE_f (raw) (eV/f.u.) = -7.27
# - calculated volume (Å³/cell) = 258
data_NaCaNp2Te4
_cell_length_a 7.815
_cell_length_b 4.455
_cell_length_c 7.838
_cell_angle_alpha 90.00
_cell_angle_beta 109.33
_cell_angle_gamma 90.00
_space_group_name_H-M_alt 'P 1 2/m 1'
_space_group_IT_number 10
loop_
_space_group_symop_operation_xyz
'x,y,z'
'-x,-y,-z'
'-x,y,-z'
'x,-y,z'
loop_
_atom_site_label
_atom_site_type_symbol
_atom_site_fract_x
_atom_site_fract_y
_atom_site_fract_z
Na1 Na 0.000 0.000 0.000
Ca1 Ca 0.500 0.500 0.000
Np1 Np 0.000 0.500 0.500
Np2 Np 0.500 0.000 0.500
Te1 Te 0.249 0.000 0.747
Te2 Te 0.255 0.500 0.256

***

# Na2CaNpTe4 PBE-GGA relaxed
# - ΔE_f (raw) (eV/f.u.) = -8.07
# - calculated volume (Å³/cell) = 262
data_Na2CaNpTe4
_cell_length_a 7.765
_cell_length_b 4.516
_cell_length_c 7.908
_cell_angle_alpha 90.00
_cell_angle_beta 108.95
_cell_angle_gamma 90.00
_space_group_name_H-M_alt 'P 1 2/m 1'
_space_group_IT_number 10
loop_
_space_group_symop_operation_xyz
'x,y,z'
'-x,-y,-z'
'-x,y,-z'
'x,-y,z'
loop_
_atom_site_label
_atom_site_type_symbol
_atom_site_fract_x
_atom_site_fract_y
_atom_site_fract_z
Na1 Na 0.000 0.000 0.000
Na2 Na 0.500 0.500 0.000
Ca1 Ca 0.000 0.500 0.500
Np1 Np 0.500 0.000 0.500
Te1 Te 0.257 0.000 0.734
Te2 Te 0.265 0.500 0.268

***

# Na5CaO4 PBE-GGA relaxed
# - ΔE_f (raw) (eV/f.u.) = -12.34
# - calculated volume (Å³/cell) = 301
data_Na5CaO4
_cell_length_a 3.385
_cell_length_b 7.385
_cell_length_c 12.052
_cell_angle_alpha 90.00
_cell_angle_beta 90.00
_cell_angle_gamma 90.00
_space_group_name_H-M_alt 'I m m m'
_space_group_IT_number 71
_space_group_name_Hall '-I 2 2'
loop_
_atom_site_label
_atom_site_type_symbol
_atom_site_fract_x
_atom_site_fract_y
_atom_site_fract_z
Na1 Na 0.000 0.000 0.000
Na2 Na 0.000 0.256 0.160
Ca1 Ca 0.000 0.000 0.500
O1 O 0.000 0.000 0.302
O2 O 0.000 0.291 0.500

***

# NaCa4O2 PBE-GGA relaxed
# - ΔE_f (raw) (eV/f.u.) = -4.10
# - calculated volume (Å³/cell) = 412
data_NaCa4O2
_cell_length_a 5.446
_cell_length_b 5.446
_cell_length_c 13.885
_cell_angle_alpha 90.00
_cell_angle_beta 90.00
_cell_angle_gamma 90.00
_space_group_name_H-M_alt 'I 4/m m m'
_space_group_IT_number 139
_space_group_name_Hall '-I 4 2'
loop_
_atom_site_label
_atom_site_type_symbol
_atom_site_fract_x
_atom_site_fract_y
_atom_site_fract_z
Na1 Na 0.000 0.000 0.000
Ca1 Ca 0.000 0.000 0.264
Ca2 Ca 0.000 0.500 0.000
O1 O 0.000 0.000 0.408

***

# NaCaO PBE-GGA relaxed
# - ΔE_f (raw) (eV/f.u.) = -5.06
# - calculated volume (Å³/cell) = 67
# - distance to the lowest polymorph of the same formula (kJ/mol of atoms) = 0.41
data_NaCaO
_cell_length_a 3.5482
_cell_length_b 3.5482
_cell_length_c 6.1623
_cell_angle_alpha 90.00
_cell_angle_beta 90.00
_cell_angle_gamma 120.00
_space_group_name_H-M_alt 'P 3 m 1'
_space_group_IT_number 156
loop_
_space_group_symop_operation_xyz
'x,y,z'
'-y,x-y,z'
'-x+y,-x,z'
'-y,-x,z'
'-x+y,y,z'
'x,x-y,z'
loop_
_atom_site_label
_atom_site_type_symbol
_atom_site_fract_x
_atom_site_fract_y
_atom_site_fract_z
Na1 Na 0.0000 0.0000 0.0000
Ca1 Ca 0.6667 0.3333 0.4184
O1 O 0.3333 0.6667 0.2678